Record 1
An optimized crystal structure of CaHfCr3. Source: Alexandria via LeMat-Bulk, functional PBE.

Cell and atoms, written as POSCAR:
```
CaHfCr3
1.0
4.944 0.000 0.000
0.000 4.944 0.000
0.000 0.000 4.944
Ca Hf Cr
1 1 3
direct
0.000 0.000 0.000
0.500 0.500 0.500
0.000 0.500 0.500
0.500 0.000 0.500
0.500 0.500 0.000
```

**DFT formation energy**: 1.27 eV per atom
**Energy relative to the lowest polymorph listed for this composition**: 0.0 kJ/mol of formula units

***

Record 2
An optimized crystal structure of Ca3HfCr. Source: Alexandria via LeMat-Bulk, functional PBE.

Cell and atoms, written as POSCAR:
```
Ca3HfCr
1.0
5.307 0.000 0.000
0.000 5.307 0.000
0.000 0.000 5.307
Ca Hf Cr
3 1 1
direct
0.000 0.000 0.500
0.000 0.500 0.000
0.500 0.000 0.000
0.500 0.500 0.500
0.000 0.000 0.000
```

**DFT formation energy**: 1.28 eV per atom
**Energy relative to the lowest polymorph listed for this composition**: 0.0 kJ/mol of formula units

***

Record 3
An optimized crystal structure of CaHf3Cr. Source: Alexandria via LeMat-Bulk, functional PBE.

Cell and atoms, written as POSCAR:
```
CaHf3Cr
1.0
4.964 0.000 0.000
0.000 4.964 0.000
0.000 0.000 4.964
Ca Hf Cr
1 3 1
direct
0.000 0.000 0.000
0.000 0.500 0.500
0.500 0.000 0.500
0.500 0.500 0.000
0.500 0.500 0.500
```

**DFT formation energy**: 0.51 eV per atom
**Energy relative to the lowest polymorph listed for this composition**: 0.0 kJ/mol of formula units

***

Record 4
An optimized crystal structure of CaHf3Cr. Source: Alexandria via LeMat-Bulk, functional PBE.

Cell and atoms, written as POSCAR:
```
CaHf3Cr
1.0
5.006 0.000 0.000
0.000 5.006 0.000
0.000 0.000 5.006
Ca Hf Cr
1 3 1
direct
0.000 0.000 0.000
0.000 0.000 0.500
0.000 0.500 0.000
0.500 0.000 0.000
0.500 0.500 0.500
```

**DFT formation energy**: 2.02 eV per atom
**Energy relative to the lowest polymorph listed for this composition**: 728.0 kJ/mol of formula units

***

Record 5
An optimized crystal structure of CaHf2Cr. Source: Alexandria via LeMat-Bulk, functional PBE.

Cell and atoms, written as POSCAR:
```
CaHf2Cr
1.0
-3.629 3.629 5.126
3.629 -3.629 5.126
3.629 3.629 -5.126
Ca Hf Cr
2 4 2
direct
0.375 0.625 0.750
0.625 0.375 0.250
0.000 0.000 0.000
0.000 0.000 0.500
0.000 0.500 0.000
0.500 0.000 0.500
0.125 0.875 0.250
0.875 0.125 0.750
```

**DFT formation energy**: 1.28 eV per atom
**Energy relative to the lowest polymorph listed for this composition**: 254.1 kJ/mol of formula units

***

Record 6
An optimized crystal structure of Ca3HfCr. Source: Alexandria via LeMat-Bulk, functional PBE.

Cell and atoms, written as POSCAR:
```
Ca3HfCr
1.0
5.885 0.000 0.000
0.000 5.885 0.000
0.000 0.000 5.885
Ca Hf Cr
3 1 1
direct
0.000 0.000 0.500
0.000 0.500 0.000
0.500 0.000 0.000
0.000 0.000 0.000
0.500 0.500 0.500
```

**DFT formation energy**: 1.36 eV per atom
**Energy relative to the lowest polymorph listed for this composition**: 36.9 kJ/mol of formula units